1.
Nd8Ni3RhI4: optimized geometry, GGA-PBE.

Properties
Calculated total energy ... -80.79 eV per cell
Size of the total moment ... 0.0000 μB per atom
SG ... R-3m (166)
Uncorrected formation energy ... -0.734 eV per atom
Crystal system ... trigonal
ρ ... 6.66 g cm⁻³

```
16
Lattice="8.304 0.000 0.000 0.000 9.384 0.751 -4.152 -4.152 5.876" Properties=species:S:1:pos:R:3 pbc="T T T"
Nd -2.056 2.453 6.123
Nd 0.000 4.508 3.211
Nd 0.000 0.725 3.444
Nd 2.056 2.453 6.123
Nd 2.096 2.780 0.504
Nd 4.152 4.508 3.183
Nd 4.152 0.724 3.416
Nd 6.208 2.780 0.504
Ni 4.152 4.692 0.376
Ni 2.076 2.616 3.314
Ni -2.076 2.616 3.314
Rh 0.000 4.692 0.376
I 4.152 0.000 0.000
I 2.076 -2.076 2.938
I 0.000 0.000 0.000
I -2.076 -2.076 2.938
```

2.
Nd6NiRu2I3: optimized geometry, GGA-PBE.

Properties
Calculated total energy ... -65.66 eV per cell
Size of the total moment ... 0.0000 μB per atom
SG ... C2/m (12)
Uncorrected formation energy ... -0.672 eV per atom
Crystal system ... monoclinic
ρ ... 6.87 g cm⁻³

```
12
Lattice="7.164 -0.001 0.000 -3.581 6.205 0.000 -1.195 -2.069 8.191" Properties=species:S:1:pos:R:3 pbc="T T T"
Nd 3.592 2.048 6.672
Nd 2.378 4.117 1.515
Nd -1.204 2.087 1.519
Nd -0.021 4.135 6.672
Nd 0.010 0.018 6.676
Nd 2.409 0.000 1.519
Ni 0.000 0.000 0.000
Ru 0.000 4.137 0.000
Ru 3.583 2.067 0.000
I -2.378 4.130 4.096
I 4.766 0.005 4.096
I 1.194 2.068 4.096
```

3.
Nd6Ni2SI3: optimized geometry, GGA-PBE.

Properties
Calculated total energy ... -60.21 eV per cell
Size of the total moment ... 0.0000 μB per atom
SG ... C2/m (12)
Uncorrected formation energy ... -0.938 eV per atom
Crystal system ... monoclinic
ρ ... 6.47 g cm⁻³

```
12
Lattice="7.267 0.007 0.004 -3.626 6.298 0.004 -1.211 -2.098 7.815" Properties=species:S:1:pos:R:3 pbc="T T T"
Nd 3.693 2.006 6.370
Nd 2.370 4.103 1.452
Nd -1.263 2.202 1.452
Nd -0.108 4.201 6.370
Nd 0.061 0.105 6.370
Nd 2.539 0.007 1.452
Ni 0.003 4.203 0.004
Ni 3.639 2.103 0.004
S 0.000 0.000 0.000
I -2.457 4.225 3.911
I 4.888 -0.017 3.911
I 1.215 2.104 3.911
```

4.
Nd8Si3NiI4: optimized geometry, GGA-PBE.

Properties
Calculated total energy ... -79.96 eV per cell
Size of the total moment ... 0.0004 μB per atom
SG ... C2/m (12)
Uncorrected formation energy ... -0.848 eV per atom
Crystal system ... monoclinic
ρ ... 6.05 g cm⁻³

```
16
Lattice="8.609 0.000 0.000 0.000 9.175 0.396 -4.304 -4.305 6.089" Properties=species:S:1:pos:R:3 pbc="T T T"
Nd -2.219 2.201 6.168
Nd 0.000 4.419 3.040
Nd 0.000 0.457 3.367
Nd 2.219 2.201 6.168
Nd 2.085 2.669 0.317
Nd 4.304 4.413 3.118
Nd 4.304 0.451 3.445
Nd 6.523 2.669 0.317
Si 4.304 4.587 0.198
Si 2.152 2.435 3.243
Si -2.152 2.435 3.243
Ni 0.000 4.587 0.198
I 4.304 0.000 0.000
I 2.152 -2.152 3.045
I 0.000 0.000 0.000
I -2.152 -2.152 3.045
```

5.
Nd6SiNi2I3: optimized geometry, GGA-PBE.

Properties
Calculated total energy ... -58.71 eV per cell
Size of the total moment ... 0.0001 μB per atom
SG ... C2/m (12)
Uncorrected formation energy ... -0.705 eV per atom
Crystal system ... monoclinic
ρ ... 6.32 g cm⁻³

```
12
Lattice="-6.029 -3.726 -1.761 1.710 1.050 7.022 -2.717 7.614 -1.747" Properties=species:S:1:pos:R:3 pbc="T T T"
Nd -6.827 3.293 1.078
Nd -3.613 -0.475 3.441
Nd -0.208 1.645 2.436
Nd -4.151 4.945 4.115
Nd -3.423 5.413 0.073
Nd -2.884 -0.007 -0.601
Si 0.000 0.000 0.000
Ni -0.864 -0.538 4.101
Ni -3.456 -2.138 1.160
I -0.898 4.086 4.731
I -6.138 0.852 -1.217
I -3.518 2.469 1.757
```

6.
Nd4SiNiI2: optimized geometry, GGA-PBE.

Properties
Calculated total energy ... -39.43 eV per cell
Size of the total moment ... 0.0000 μB per atom
SG ... P2/m (10)
Uncorrected formation energy ... -0.757 eV per atom
Crystal system ... monoclinic
ρ ... 6.20 g cm⁻³

```
8
Lattice="-2.435 1.774 2.841 4.290 -2.986 5.541 3.215 7.249 -1.772" Properties=species:S:1:pos:R:3 pbc="T T T"
Nd 0.288 1.585 2.276
Nd 4.782 4.453 4.335
Nd 3.705 5.018 0.042
Nd 3.800 -0.754 3.728
Si 0.928 -0.606 4.191
Ni 0.000 0.000 0.000
I 0.390 4.512 0.535
I 3.753 2.132 1.885
```

7.
NdSmNiI: optimized geometry, GGA-PBE.

Properties
Calculated total energy ... -19.47 eV per cell
Size of the total moment ... 0.0000 μB per atom
SG ... R3m (160)
Uncorrected formation energy ... -0.662 eV per atom
Crystal system ... trigonal
ρ ... 6.78 g cm⁻³

```
4
Lattice="4.112 0.000 0.000 -2.055 3.560 0.000 -2.056 -1.187 8.031" Properties=species:S:1:pos:R:3 pbc="T T T"
Nd 0.388 -0.261 5.515
Sm -1.666 3.300 0.401
Ni -1.666 0.926 6.992
I 2.443 0.927 2.911
```

8.
TbNdNiI: optimized geometry, GGA-PBE.

Properties
Calculated total energy ... -19.38 eV per cell
Size of the total moment ... 0.0000 μB per atom
SG ... R3m (160)
Uncorrected formation energy ... -0.663 eV per atom
Crystal system ... trigonal
ρ ... 7.07 g cm⁻³

```
4
Lattice="4.078 0.000 0.000 -2.038 3.532 0.000 -2.039 -1.177 7.974" Properties=species:S:1:pos:R:3 pbc="T T T"
Tb -1.653 3.273 0.393
Nd 0.385 -0.258 5.481
Ni -1.652 0.919 6.970
I 2.423 0.919 2.861
```

9.
NdThNiI: optimized geometry, GGA-PBE.

Properties
Calculated total energy ... -21.85 eV per cell
Size of the total moment ... 0.0000 μB per atom
SG ... Cm (8)
Uncorrected formation energy ... -0.583 eV per atom
Crystal system ... monoclinic
ρ ... 7.81 g cm⁻³

```
4
Lattice="0.085 -0.467 4.035 2.699 -2.234 -2.056 4.353 7.000 -1.361" Properties=species:S:1:pos:R:3 pbc="T T T"
Nd 3.438 4.190 0.809
Th 2.725 -1.821 -1.602
Ni 5.336 4.774 -1.063
I 2.716 1.231 2.578
```

10.
NdYNiI: optimized geometry, GGA-PBE.

Properties
Calculated total energy ... -21.18 eV per cell
Size of the total moment ... 0.0000 μB per atom
SG ... R3m (160)
Uncorrected formation energy ... -0.654 eV per atom
Crystal system ... trigonal
ρ ... 6.07 g cm⁻³

```
4
Lattice="4.075 0.000 0.000 -2.037 3.529 0.000 -2.037 -1.176 7.967" Properties=species:S:1:pos:R:3 pbc="T T T"
Nd 0.385 -0.258 5.478
Y -1.652 3.271 0.406
Ni -1.651 0.919 6.959
I 2.422 0.918 2.848
```

11.
NdNpI: optimized geometry, GGA-PBE.

Properties
Calculated total energy ... -41.21 eV per cell
Size of the total moment ... 0.6723 μB per atom
SG ... C2/m (12)
Uncorrected formation energy ... -0.449 eV per atom
Crystal system ... monoclinic
ρ ... 8.43 g cm⁻³

```
6
Lattice="-3.597 0.479 1.660 -2.879 -1.711 -2.170 6.071 -10.697 7.254" Properties=species:S:1:pos:R:3 pbc="T T T"
Np -2.295 -6.157 3.090
Np 1.891 -5.772 3.655
Nd 0.037 -8.232 4.714
Nd -0.441 -3.697 2.031
I 4.448 -9.251 6.123
I -4.852 -2.678 0.622
```